# Li3TiTl PBE relaxed
# - energy above the most stable polymorph in this dataset (kcal/mol of atoms) = 0.00
# - energy of formation (meV/atom) = 676
# - N(E_F) (states/eV/f.u.) = 2.86
# - theoretical density (g cm⁻³) = 4.07
data_Li3TiTl
_chemical_formula_sum 'Li3 Ti1 Tl1'
_cell_length_a 4.814
_cell_length_b 4.814
_cell_length_c 4.814
_cell_angle_alpha 90.00
_cell_angle_beta 90.00
_cell_angle_gamma 90.00
_symmetry_space_group_name_H-M 'P m -3 m'
_symmetry_Int_Tables_number 221
_symmetry_space_group_name_Hall '-P 4 2 3'
loop_
_atom_site_label
_atom_site_type_symbol
_atom_site_fract_x
_atom_site_fract_y
_atom_site_fract_z
Li1 Li 0.000 0.000 0.500
Ti1 Ti 0.500 0.500 0.500
Tl1 Tl 0.000 0.000 0.000